This record from Alexandria describes an optimized crystal structure of Ce2PmSm3As6. The functional is PBE-GGA.

Results
E_form in eV per formula unit: -18.0

Lattice parameters (Å, degrees): 7.3058 7.3058 7.3028 99.59 99.59 120.00
Element x y z (fractional)
Ce: 0.1669 0.8331 0.0000
Ce: 0.8331 0.1669 0.0000
Pm: 0.5000 0.5000 0.0000
Sm: 0.0000 0.0000 0.5000
Sm: 0.3340 0.6660 0.5000
Sm: 0.6660 0.3340 0.5000
As: 0.0810 0.4172 0.7516
As: 0.2467 0.2467 0.2488
As: 0.4172 0.0810 0.7516
As: 0.5828 0.9190 0.2484
As: 0.7533 0.7533 0.7512
As: 0.9190 0.5828 0.2484

This record from Alexandria describes an optimized crystal structure of K3Pa2GaN6. The functional is PBE-GGA.

Results
Formation energy from raw total energies in eV per atom: -0.5709

Lattice parameters (Å, degrees): 6.3899 6.3899 6.5688 95.60 95.60 127.09
Element x y z (fractional)
K: 0.0000 0.0000 0.0000
K: 0.3443 0.6557 0.0000
K: 0.6557 0.3443 0.0000
Pa: 0.1621 0.8379 0.5000
Pa: 0.8379 0.1621 0.5000
Ga: 0.5000 0.5000 0.5000
N: 0.0520 0.4219 0.3095
N: 0.2506 0.2506 0.6475
N: 0.4219 0.0520 0.3095
N: 0.5781 0.9480 0.6905
N: 0.7494 0.7494 0.3525
N: 0.9480 0.5781 0.6905

This record from Alexandria describes an optimized crystal structure of CsPmCu2P2. The functional is PBE-GGA.

Results
E_form in eV per formula unit: -4.2

Lattice parameters (Å, degrees): 4.0798 4.0798 9.5208 90.00 90.00 120.00
Element x y z (fractional)
Cs: 0.0000 0.0000 0.0000
Pm: 0.0000 0.0000 0.5000
Cu: 0.3333 0.6667 0.7052
Cu: 0.6667 0.3333 0.2948
P: 0.3333 0.6667 0.3056
P: 0.6667 0.3333 0.6944